[1]
Compound: NaCaAsSe2
Source: Alexandria
Functional: GGA-PBE
Structure: optimized geometry

```
NaCaAsSe2
1.0
5.516 0.000 0.000
0.000 5.516 0.000
0.000 0.000 5.445
Na Ca As Se
1 1 1 2
Cartesian
0.000 0.000 0.000
2.758 2.758 2.723
2.758 2.758 0.000
0.000 2.758 2.723
2.758 0.000 2.723
```

Calculated values
For the uncorrected formation energy, the calculation gives -0.1725 eV per atom. Its space group is No. 123. The uncorrected energy comes out at -15.80 eV per cell. The energy above the lowest structure with this stoichiometry comes out at 0 kJ/mol of formula units.

[2]
Compound: AlCrGa
Source: Alexandria
Functional: GGA-PBE
Structure: optimized geometry

```
AlCrGa
1.0
0.000 4.310 4.044
2.406 0.000 4.044
2.406 4.310 0.000
Al Cr Ga
2 2 2
Cartesian
0.000 0.000 0.000
1.203 2.155 2.022
2.406 4.310 5.425
3.609 6.465 7.447
2.406 4.310 2.783
3.609 6.465 4.805
```

Calculated values
Its space group is No. 43. As for the calculated formation energy: -0.01 eV per atom. The uncorrected energy comes out at -32.82 eV per cell. The energy above the lowest structure with this stoichiometry comes out at 18 kJ/mol of formula units.

[3]
Compound: Na4Mn3GaSe8
Source: Alexandria
Functional: GGA-PBE
Structure: optimized geometry

```
Na4Mn3GaSe8
1.0
3.801 2.195 6.957
-3.801 2.195 6.957
0.000 -4.389 6.957
Na Mn Ga Se
4 3 1 8
Cartesian
0.000 0.000 0.000
-1.901 -1.097 6.957
-1.901 1.097 13.913
0.000 2.195 6.957
-3.801 0.000 10.435
-1.901 1.097 3.478
1.901 1.097 3.478
0.000 0.000 10.435
-1.918 -1.107 11.849
0.000 0.000 4.910
0.000 -2.215 9.021
-1.918 1.107 9.021
1.918 -1.107 11.849
0.000 2.215 11.849
0.000 0.000 15.960
1.918 1.107 9.021
```

Calculated values
For the uncorrected formation energy, the calculation gives -0.7169 eV per atom. Its space group is No. 166. The uncorrected energy comes out at -75.16 eV per cell.

[4]
Compound: KTa2Te
Source: Alexandria
Functional: GGA-PBE
Structure: optimized geometry

```
KTa2Te
1.0
4.720 0.000 0.000
0.000 4.720 0.000
0.000 0.000 20.849
K Ta Te
4 8 4
Cartesian
0.000 0.000 0.000
0.000 2.360 5.212
2.360 0.000 15.637
2.360 2.360 10.424
0.457 3.540 13.031
1.180 0.457 7.818
1.180 1.903 18.243
1.903 3.540 2.606
2.817 1.180 2.606
3.540 2.817 18.243
3.540 4.263 7.818
4.263 1.180 13.031
0.000 0.000 10.424
0.000 2.360 15.637
2.360 0.000 5.212
2.360 2.360 0.000
```

Calculated values
For the uncorrected formation energy, the calculation gives 0.9938 eV per atom. Its space group is No. 122. The uncorrected energy comes out at -95.88 eV per cell.

[5]
Compound: MgAsN2
Source: Alexandria
Functional: GGA-PBE
Structure: optimized geometry

```
MgAsN2
1.0
3.355 0.000 0.000
-1.678 2.906 0.000
0.000 0.000 16.809
Mg As N
3 3 6
Cartesian
0.000 0.000 0.000
0.000 1.937 11.206
1.678 0.969 5.603
0.000 0.000 8.404
0.000 1.937 2.801
1.678 0.969 14.007
0.000 0.000 6.663
0.000 0.000 10.145
0.000 1.937 1.061
0.000 1.937 4.542
1.678 0.969 12.266
1.678 0.969 15.748
```

Calculated values
For the uncorrected formation energy, the calculation gives 0.3439 eV per atom. Its space group is No. 166. The uncorrected energy comes out at -64.56 eV per cell. The energy above the lowest structure with this stoichiometry comes out at 104 kJ/mol of formula units.

[6]
Compound: ZnSi2Tc
Source: Alexandria
Functional: GGA-PBE
Structure: optimized geometry

```
ZnSi2Tc
1.0
3.184 0.000 0.000
0.000 4.092 0.000
-1.576 0.000 4.554
Zn Si Tc
1 2 1
Cartesian
0.000 0.000 0.000
0.018 0.000 2.424
1.609 2.046 1.690
0.018 2.046 3.663
```

Calculated values
For the uncorrected formation energy, the calculation gives -0.0207 eV per atom. Its space group is No. 6. The uncorrected energy comes out at -22.57 eV per cell. The energy above the lowest structure with this stoichiometry comes out at 35 kJ/mol of formula units.

[7]
Compound: LaSbBr2
Source: Alexandria
Functional: GGA-PBE
Structure: optimized geometry

```
LaSbBr2
1.0
12.593 0.000 0.000
0.000 3.895 0.000
-3.453 0.000 6.292
La Sb Br
2 2 4
Cartesian
0.000 0.000 0.000
6.297 1.947 0.000
-0.623 1.947 6.256
5.673 0.000 6.256
-0.709 1.947 2.105
2.220 0.000 4.158
5.587 0.000 2.105
8.516 1.947 4.158
```

Calculated values
For the uncorrected formation energy, the calculation gives -1.0844 eV per atom. Its space group is No. 8. The uncorrected energy comes out at -33.47 eV per cell. The energy above the lowest structure with this stoichiometry comes out at 39 kJ/mol of formula units.

[8]
Compound: Zn3OF
Source: Alexandria
Functional: GGA-PBE
Structure: optimized geometry

```
Zn3OF
1.0
4.245 0.000 0.000
0.000 4.245 0.000
0.000 0.000 4.245
Zn O F
3 1 1
Cartesian
0.000 0.000 2.123
0.000 2.123 0.000
2.123 0.000 0.000
0.000 0.000 0.000
2.123 2.123 2.123
```

Calculated values
For the uncorrected formation energy, the calculation gives -0.4071 eV per atom. Its space group is No. 221. The uncorrected energy comes out at -12.69 eV per cell. The energy above the lowest structure with this stoichiometry comes out at 0 kJ/mol of formula units.

[9]
Compound: KCdCoI2
Source: Alexandria
Functional: GGA-PBE
Structure: optimized geometry

```
KCdCoI2
1.0
5.353 0.000 0.000
0.000 5.353 0.000
0.000 0.000 6.273
K Cd Co I
1 1 1 2
Cartesian
0.000 0.000 0.000
2.676 2.676 0.000
0.000 0.000 3.137
0.000 2.676 3.137
2.676 0.000 3.137
```

Calculated values
For the uncorrected formation energy, the calculation gives 0.0022 eV per atom. Its space group is No. 123. The uncorrected energy comes out at -12.21 eV per cell.

[10]
Compound: Pr3Er4Tm2
Source: Alexandria
Functional: GGA-PBE
Structure: optimized geometry

```
Pr3Er4Tm2
1.0
8.120 -5.845 0.000
8.120 5.845 0.000
-0.761 0.000 6.105
Pr Er Tm
6 8 4
Cartesian
7.549 4.197 4.579
4.710 1.647 5.598
5.091 -1.647 2.545
10.388 1.647 3.560
10.768 -1.647 0.507
7.929 -4.197 1.526
3.369 1.397 2.280
6.809 1.403 2.812
2.989 -1.397 5.332
9.050 1.403 0.240
6.429 -1.403 5.865
12.490 1.397 0.773
8.670 -1.403 3.293
12.109 -1.397 3.825
6.220 4.450 1.251
9.639 4.450 1.802
5.840 -4.450 4.303
9.258 -4.450 4.854
```

Calculated values
Its space group is No. 15. As for the calculated formation energy: 0.10 eV per atom. The uncorrected energy comes out at -81.19 eV per cell. The energy above the lowest structure with this stoichiometry comes out at 69 kJ/mol of formula units.

[11]
Compound: Dy2PaIO8
Source: Alexandria
Functional: GGA-PBE
Structure: optimized geometry

```
Dy2PaIO8
1.0
3.537 -3.657 0.000
3.537 3.657 0.000
0.000 0.000 6.980
Dy Pa I O
2 1 1 8
Cartesian
0.000 0.000 1.711
0.000 0.000 5.269
3.537 0.000 3.490
3.537 0.000 0.000
1.422 0.000 3.490
1.479 0.000 0.000
3.537 1.353 1.691
3.537 1.353 5.289
3.537 -1.353 1.691
3.537 -1.353 5.289
5.595 0.000 0.000
5.651 0.000 3.490
```

Calculated values
For the uncorrected formation energy, the calculation gives -2.6080 eV per atom. Its space group is No. 65. The uncorrected energy comes out at -91.21 eV per cell.

[12]
Compound: Tb2Sm3In3
Source: Alexandria
Functional: GGA-PBE
Structure: optimized geometry

```
Tb2Sm3In3
1.0
4.424 0.000 0.000
0.000 5.021 0.000
0.000 0.000 20.858
Tb Sm In
4 6 6
Cartesian
0.000 0.000 4.948
0.000 0.000 15.910
2.212 2.510 5.481
2.212 2.510 15.378
0.000 0.000 0.000
0.000 2.510 2.498
0.000 2.510 18.360
2.212 0.000 7.931
2.212 0.000 12.927
2.212 2.510 10.429
0.000 0.000 10.429
0.000 2.510 7.798
0.000 2.510 13.061
2.212 0.000 2.632
2.212 0.000 18.227
2.212 2.510 0.000
```

Calculated values
Its space group is No. 71. As for the calculated formation energy: -0.36 eV per atom. The uncorrected energy comes out at -69.00 eV per cell.

[13]
Compound: NdMg6Ag2
Source: Alexandria
Functional: GGA-PBE
Structure: optimized geometry

```
NdMg6Ag2
1.0
4.366 0.000 0.000
0.000 4.366 0.000
0.000 0.000 10.992
Nd Mg Ag
1 6 2
Cartesian
0.000 0.000 0.000
0.000 0.000 5.496
0.000 2.183 3.110
0.000 2.183 7.882
2.183 0.000 3.110
2.183 0.000 7.882
2.183 2.183 5.496
2.183 2.183 1.372
2.183 2.183 9.620
```

Calculated values
Its space group is No. 123. As for the calculated formation energy: -0.13 eV per atom. The uncorrected energy comes out at -21.19 eV per cell. The energy above the lowest structure with this stoichiometry comes out at 0 kJ/mol of formula units.

[14]
Compound: Mg2FeCu
Source: Alexandria
Functional: GGA-PBE
Structure: optimized geometry

```
Mg2FeCu
1.0
2.860 0.000 0.000
-1.430 2.477 0.000
0.000 0.000 27.561
Mg Fe Cu
6 3 3
Cartesian
0.000 0.000 0.000
0.000 0.000 6.383
0.000 1.651 18.374
0.000 1.651 24.757
1.430 0.826 9.187
1.430 0.826 15.570
0.000 0.000 13.368
0.000 1.651 4.180
1.430 0.826 22.555
0.000 0.000 20.584
0.000 1.651 11.396
1.430 0.826 2.209
```

Calculated values
Its space group is No. 160. As for the calculated formation energy: 0.25 eV per atom. The uncorrected energy comes out at -44.29 eV per cell.

[15]
Compound: TiGa
Source: Alexandria
Functional: GGA-PBE
Structure: optimized geometry

```
TiGa
1.0
7.673 0.000 0.000
0.000 7.673 0.000
0.000 0.000 5.024
Ti Ga
8 8
Cartesian
0.443 2.592 0.000
1.244 4.280 2.512
2.592 7.230 0.000
3.393 1.244 2.512
4.280 6.429 2.512
5.080 0.443 0.000
6.429 3.393 2.512
7.230 5.080 0.000
0.774 1.622 2.512
1.622 6.899 2.512
2.215 4.611 0.000
3.062 2.215 0.000
4.611 5.458 0.000
5.458 3.062 0.000
6.051 0.774 2.512
6.899 6.051 2.512
```

Calculated values
Its space group is No. 87. As for the calculated formation energy: -0.09 eV per atom. The uncorrected energy comes out at -88.84 eV per cell.

[16]
Compound: Na2SmRhO4
Source: Alexandria
Functional: GGA-PBE
Structure: optimized geometry

```
Na2SmRhO4
1.0
5.461 0.000 0.000
0.000 3.367 0.000
-1.948 0.000 5.631
Na Sm Rh O
2 1 1 4
Cartesian
0.000 0.000 0.000
2.731 1.684 0.000
-0.974 1.684 2.816
1.756 0.000 2.816
-0.012 0.000 4.089
1.053 1.684 1.650
2.460 1.684 3.981
3.525 0.000 1.542
```

Calculated values
For the uncorrected formation energy, the calculation gives -1.8339 eV per atom. Its space group is No. 10. The uncorrected energy comes out at -49.21 eV per cell.

[17]
Compound: OsRuRh2
Source: Alexandria
Functional: GGA-PBE
Structure: optimized geometry

```
OsRuRh2
1.0
4.662 0.000 0.000
0.000 4.662 0.000
0.000 0.000 2.691
Os Ru Rh
1 1 2
Cartesian
0.000 0.000 0.000
2.331 2.331 0.000
0.000 2.331 1.345
2.331 0.000 1.345
```

Calculated values
Its space group is No. 123. As for the calculated formation energy: 0.45 eV per atom. The uncorrected energy comes out at -33.41 eV per cell. The energy above the lowest structure with this stoichiometry comes out at 155 kJ/mol of formula units.

[18]
Compound: Nb2FePdC
Source: Alexandria
Functional: GGA-PBE
Structure: optimized geometry

```
Nb2FePdC
1.0
4.330 0.000 0.000
0.000 4.330 0.000
0.000 0.000 3.771
Nb Fe Pd C
2 1 1 1
Cartesian
0.000 2.165 0.000
2.165 0.000 0.000
0.000 0.000 1.886
2.165 2.165 1.886
0.000 0.000 0.000
```

Calculated values
Its space group is No. 123. As for the calculated formation energy: -0.19 eV per atom. The uncorrected energy comes out at -43.94 eV per cell.

[19]
Compound: BaCdTc
Source: Alexandria
Functional: GGA-PBE
Structure: optimized geometry

```
BaCdTc
1.0
3.710 0.000 0.000
0.000 3.749 0.000
0.000 0.000 11.713
Ba Cd Tc
2 2 2
Cartesian
0.000 0.000 0.000
1.855 1.875 5.856
0.000 0.000 3.290
1.855 1.875 9.147
0.000 0.000 8.209
1.855 1.875 2.352
```

Calculated values
Its space group is No. 44. As for the calculated formation energy: 0.67 eV per atom. The uncorrected energy comes out at -22.41 eV per cell. The energy above the lowest structure with this stoichiometry comes out at 0 kJ/mol of formula units.

[20]
Compound: Y3GaRu
Source: Alexandria
Functional: GGA-PBE
Structure: optimized geometry

```
Y3GaRu
1.0
0.000 4.742 7.934
3.218 0.000 7.934
3.218 4.742 0.000
Y Ga Ru
6 2 2
Cartesian
3.218 4.742 3.094
3.218 2.997 6.245
3.218 2.997 9.623
3.218 6.488 6.245
3.218 6.488 9.623
3.218 4.742 12.775
5.185 4.742 7.934
1.250 4.742 7.934
1.609 2.371 3.967
4.826 7.114 11.902
```

Calculated values
Its space group is No. 69. As for the calculated formation energy: -0.44 eV per atom. The uncorrected energy comes out at -67.76 eV per cell. The energy above the lowest structure with this stoichiometry comes out at 0 kJ/mol of formula units.

[21]
Compound: Ru3Au
Source: Alexandria
Functional: GGA-PBE
Structure: optimized geometry

```
Ru3Au
1.0
2.798 0.000 0.000
0.000 4.403 0.000
0.000 0.000 4.828
Ru Au
3 1
Cartesian
0.000 0.000 0.000
0.000 2.202 1.510
1.399 2.202 4.055
1.399 0.000 2.427
```

Calculated values
Its space group is No. 25. As for the calculated formation energy: 0.36 eV per atom. The uncorrected energy comes out at -29.68 eV per cell. The energy above the lowest structure with this stoichiometry comes out at 71 kJ/mol of formula units.

[22]
Compound: YLuPuSc
Source: Alexandria
Functional: GGA-PBE
Structure: optimized geometry

```
YLuPuSc
1.0
7.678 0.000 0.000
0.000 7.678 0.000
0.000 0.000 7.678
Y Lu Pu Sc
4 4 4 4
Cartesian
0.000 0.000 0.000
0.000 3.839 3.839
3.839 0.000 3.839
3.839 3.839 0.000
1.919 1.919 5.758
1.919 5.758 1.919
5.758 1.919 1.919
5.758 5.758 5.758
0.000 0.000 3.839
0.000 3.839 0.000
3.839 0.000 0.000
3.839 3.839 3.839
1.919 1.919 1.919
1.919 5.758 5.758
5.758 1.919 5.758
5.758 5.758 1.919
```

Calculated values
Its space group is No. 216. As for the calculated formation energy: 0.16 eV per atom. The uncorrected energy comes out at -123.96 eV per cell.

[23]
Compound: AcCd2CuO5
Source: Alexandria
Functional: GGA-PBE
Structure: optimized geometry

```
AcCd2CuO5
1.0
-3.240 3.240 5.736
3.240 -3.240 5.736
3.240 3.240 -5.736
Ac Cd Cu O
2 4 2 10
Cartesian
0.000 0.000 2.868
0.000 0.000 8.604
4.315 1.076 0.000
1.076 2.164 0.000
2.164 1.076 5.736
-1.076 2.164 5.736
3.240 0.000 2.868
0.000 3.240 2.868
0.000 0.000 0.000
2.252 0.988 -1.614
2.252 -0.988 4.121
2.252 0.988 1.614
2.252 -0.988 7.350
0.000 0.000 5.736
0.988 4.227 -1.614
0.988 2.252 4.121
0.988 4.227 1.614
0.988 2.252 7.350
```

Calculated values
For the uncorrected formation energy, the calculation gives -1.3494 eV per atom. Its space group is No. 140. The uncorrected energy comes out at -93.94 eV per cell.

[24]
Compound: LaSm6Y2Ho
Source: Alexandria
Functional: GGA-PBE
Structure: optimized geometry

```
LaSm6Y2Ho
1.0
4.657 -7.626 0.000
4.657 7.626 0.000
-1.204 0.000 9.579
La Sm Y Ho
2 12 4 2
Cartesian
3.754 6.193 7.184
4.356 -6.193 2.395
3.305 5.949 3.650
2.514 3.456 1.747
5.408 5.949 1.139
3.391 2.680 5.332
4.118 2.680 9.036
6.199 3.456 3.042
1.912 -3.456 6.536
3.992 -2.680 0.542
4.720 -2.680 4.247
2.703 -5.949 8.440
5.597 -3.456 7.832
4.806 -5.949 5.928
1.238 0.737 9.125
1.840 -0.737 4.336
6.271 0.737 5.243
6.873 -0.737 0.454
4.356 0.497 2.395
3.754 -0.497 7.184
```

Calculated values
Its space group is No. 15. As for the calculated formation energy: 0.12 eV per atom. The uncorrected energy comes out at -99.05 eV per cell.